Record 1
Entry from Alexandria via LeMat-Bulk: a relaxed structure of Co2Pt2Rh (PBE).

Structure (POSCAR):
```
Co2Pt2Rh
1.0
7.178 0.000 0.000
0.000 7.178 0.000
0.000 0.000 2.743
Co Pt Rh
4 4 2
Direct
0.118 0.382 0.000
0.382 0.882 0.000
0.618 0.118 0.000
0.882 0.618 0.000
0.177 0.677 0.500
0.323 0.177 0.500
0.677 0.823 0.500
0.823 0.323 0.500
0.000 0.000 0.000
0.500 0.500 0.000
```

Properties
M_tot   11.44 Bohr magnetons per cell
Relative energy among the computed polymorphs   0.00 eV per formula unit
Space group   No. 127


Record 2
Entry from Alexandria via LeMat-Bulk: a relaxed structure of SmYSeN (PBE).

Structure (POSCAR):
```
SmYSeN
1.0
1.861 1.074 6.616
-1.861 1.074 6.616
0.000 -2.149 6.616
Sm Y Se N
1 1 1 1
Direct
0.000 0.000 0.000
0.467 0.467 0.467
0.231 0.231 0.231
0.737 0.737 0.737
```

Properties
M_tot   0.00 Bohr magnetons per cell
E_form (uncorrected)   -6.71 eV per formula unit
Space group   No. 160


Record 3
Entry from Alexandria via LeMat-Bulk: a relaxed structure of LaYScZn (PBE).

Structure (POSCAR):
```
LaYScZn
1.0
0.000 3.773 3.773
3.773 0.000 3.773
3.773 3.773 0.000
La Y Sc Zn
1 1 1 1
Direct
0.000 0.000 0.000
0.500 0.500 0.500
0.250 0.250 0.250
0.750 0.750 0.750
```

Properties
M_tot   0.17 Bohr magnetons per cell
Relative energy among the computed polymorphs   0.53 eV per formula unit
Space group   No. 216


Record 4
Entry from Alexandria via LeMat-Bulk: a relaxed structure of Ca3MnHg (PBE).

Structure (POSCAR):
```
Ca3MnHg
1.0
5.736 0.000 0.000
0.000 5.736 0.000
0.000 0.000 5.736
Ca Mn Hg
3 1 1
Direct
0.000 0.000 0.500
0.000 0.500 0.000
0.500 0.000 0.000
0.500 0.500 0.500
0.000 0.000 0.000
```

Properties
M_tot   0.77 Bohr magnetons per cell
Relative energy among the computed polymorphs   2.58 eV per formula unit
Space group   No. 221


Record 5
Entry from Alexandria via LeMat-Bulk: a relaxed structure of LaTaSi2 (PBE).

Structure (POSCAR):
```
LaTaSi2
1.0
4.994 -1.539 0.000
4.994 1.539 0.000
-1.534 0.000 5.369
La Ta Si
1 1 2
Direct
0.000 0.000 0.000
0.209 0.209 0.595
0.477 0.477 0.506
0.782 0.782 0.269
```

Properties
M_tot   0.00 Bohr magnetons per cell
E_form (uncorrected)   0.14 eV per formula unit
Relative energy among the computed polymorphs   1.80 eV per formula unit
Space group   No. 8


Record 6
Entry from Alexandria via LeMat-Bulk: a relaxed structure of MgScBr2 (PBE).

Structure (POSCAR):
```
MgScBr2
1.0
-4.590 4.590 3.161
4.590 -4.590 3.161
4.590 4.590 -3.161
Mg Sc Br
2 2 4
Direct
0.000 0.000 0.000
0.750 0.250 0.500
0.250 0.750 0.500
0.500 0.500 0.000
0.249 0.125 0.624
0.375 0.751 0.876
0.501 0.625 0.376
0.875 0.499 0.124
```

Properties
M_tot   0.02 Bohr magnetons per cell
E_form (uncorrected)   -2.78 eV per formula unit
Relative energy among the computed polymorphs   1.15 eV per formula unit
Space group   No. 122


Record 7
Entry from Alexandria via LeMat-Bulk: a relaxed structure of ScTc3F (PBE).

Structure (POSCAR):
```
ScTc3F
1.0
4.902 0.000 0.000
0.000 4.902 0.000
0.000 0.000 4.902
Sc Tc F
1 3 1
Direct
0.000 0.000 0.000
0.000 0.000 0.500
0.000 0.500 0.000
0.500 0.000 0.000
0.500 0.500 0.500
```

Properties
M_tot   8.91 Bohr magnetons per cell
E_form (uncorrected)   10.07 eV per formula unit
Relative energy among the computed polymorphs   7.31 eV per formula unit
Space group   No. 221


Record 8
Entry from Alexandria via LeMat-Bulk: a relaxed structure of K12Cd3O5 (PBE).

Structure (POSCAR):
```
K12Cd3O5
1.0
-8.901 8.901 8.901
8.901 -8.901 8.901
8.901 8.901 -8.901
K Cd O
48 12 20
Direct
0.002 0.684 0.100
0.002 0.817 0.902
0.084 0.683 0.684
0.084 0.902 0.400
0.098 0.600 0.916
0.098 0.998 0.183
0.100 0.002 0.684
0.100 0.598 0.416
0.183 0.098 0.998
0.183 0.584 0.184
0.184 0.183 0.584
0.184 0.502 0.600
0.316 0.900 0.998
0.316 0.916 0.317
0.317 0.316 0.916
0.317 0.502 0.402
0.400 0.084 0.902
0.400 0.816 0.498
0.402 0.317 0.502
0.402 0.584 0.900
0.416 0.100 0.598
0.416 0.816 0.817
0.498 0.400 0.816
0.498 0.598 0.683
0.502 0.402 0.317
0.502 0.600 0.184
0.584 0.184 0.183
0.584 0.900 0.402
0.598 0.416 0.100
0.598 0.683 0.498
0.600 0.184 0.502
0.600 0.916 0.098
0.683 0.498 0.598
0.683 0.684 0.084
0.684 0.084 0.683
0.684 0.100 0.002
0.816 0.498 0.400
0.816 0.817 0.416
0.817 0.416 0.816
0.817 0.902 0.002
0.900 0.402 0.584
0.900 0.998 0.316
0.902 0.002 0.817
0.902 0.400 0.084
0.916 0.098 0.600
0.916 0.317 0.316
0.998 0.183 0.098
0.998 0.316 0.900
0.125 0.250 0.375
0.125 0.375 0.750
0.250 0.375 0.125
0.250 0.875 0.625
0.375 0.125 0.250
0.375 0.750 0.125
0.625 0.250 0.875
0.625 0.875 0.750
0.750 0.125 0.375
0.750 0.625 0.875
0.875 0.625 0.250
0.875 0.750 0.625
0.000 0.000 0.000
0.000 0.000 0.500
0.000 0.500 0.000
0.000 0.500 0.500
0.125 0.750 0.875
0.125 0.875 0.250
0.250 0.125 0.875
0.250 0.625 0.375
0.375 0.250 0.625
0.375 0.625 0.750
0.500 0.000 0.000
0.500 0.000 0.500
0.500 0.500 0.000
0.500 0.500 0.500
0.625 0.375 0.250
0.625 0.750 0.375
0.750 0.375 0.625
0.750 0.875 0.125
0.875 0.125 0.750
0.875 0.250 0.125
```

Properties
M_tot   0.29 Bohr magnetons per cell
E_form (uncorrected)   -12.36 eV per formula unit
Space group   No. 230


Record 9
Entry from Alexandria via LeMat-Bulk: a relaxed structure of Ho2Co2Ge3 (PBE).

Structure (POSCAR):
```
Ho2Co2Ge3
1.0
2.035 -8.782 0.000
2.035 8.782 0.000
0.000 0.000 6.795
Ho Co Ge
4 4 6
Direct
0.054 0.946 0.750
0.161 0.839 0.250
0.839 0.161 0.750
0.946 0.054 0.250
0.304 0.696 0.056
0.304 0.696 0.444
0.696 0.304 0.556
0.696 0.304 0.944
0.222 0.778 0.750
0.432 0.568 0.561
0.432 0.568 0.939
0.568 0.432 0.061
0.568 0.432 0.439
0.778 0.222 0.250
```

Properties
M_tot   0.54 Bohr magnetons per cell
VASP energy   -5.934 eV/atom
Space group   No. 63


Record 10
Entry from Alexandria via LeMat-Bulk: a relaxed structure of CrIrRh (PBE).

Structure (POSCAR):
```
CrIrRh
1.0
4.196 0.000 0.000
-2.098 3.633 0.000
0.000 0.000 2.681
Cr Ir Rh
1 1 1
Direct
0.000 0.000 0.000
0.667 0.333 0.500
0.333 0.667 0.000
```

Properties
M_tot   0.00 Bohr magnetons per cell
Relative energy among the computed polymorphs   0.39 eV per formula unit
Space group   No. 187


Record 11
Entry from Alexandria via LeMat-Bulk: a relaxed structure of AgB3Ir3 (PBE).

Structure (POSCAR):
```
AgB3Ir3
1.0
5.822 0.000 0.000
0.000 5.822 0.000
0.000 0.000 5.822
Ag B Ir
2 6 6
Direct
0.000 0.000 0.000
0.500 0.500 0.500
0.000 0.250 0.500
0.000 0.750 0.500
0.250 0.500 0.000
0.500 0.000 0.250
0.500 0.000 0.750
0.750 0.500 0.000
0.000 0.500 0.250
0.000 0.500 0.750
0.250 0.000 0.500
0.500 0.250 0.000
0.500 0.750 0.000
0.750 0.000 0.500
```

Properties
M_tot   0.00 Bohr magnetons per cell
VASP energy   -6.955 eV/atom
Space group   No. 223


Record 12
Entry from Alexandria via LeMat-Bulk: a relaxed structure of ErPuIn2 (PBE).

Structure (POSCAR):
```
ErPuIn2
1.0
4.791 0.000 0.000
0.000 4.791 0.000
0.000 0.000 4.571
Er Pu In
1 1 2
Direct
0.000 0.000 0.000
0.500 0.500 0.000
0.000 0.500 0.500
0.500 0.000 0.500
```

Properties
M_tot   6.29 Bohr magnetons per cell
VASP energy   -6.351 eV/atom
Space group   No. 123


Record 13
Entry from Alexandria via LeMat-Bulk: a relaxed structure of LiPm2V (PBE).

Structure (POSCAR):
```
LiPm2V
1.0
1.641 0.947 11.462
-1.641 0.947 11.462
0.000 -1.895 11.462
Li Pm V
1 2 1
Direct
0.000 0.000 0.000
0.419 0.419 0.419
0.581 0.581 0.581
0.500 0.500 0.500
```

Properties
M_tot   2.56 Bohr magnetons per cell
VASP energy   -4.467 eV/atom
Space group   No. 166


Record 14
Entry from Alexandria via LeMat-Bulk: a relaxed structure of NiSnSb2I (PBE).

Structure (POSCAR):
```
NiSnSb2I
1.0
4.987 0.000 0.000
0.000 4.987 0.000
0.000 0.000 5.547
Ni Sn Sb I
1 1 2 1
Direct
0.000 0.000 0.000
0.500 0.500 0.500
0.000 0.500 0.000
0.500 0.000 0.000
0.000 0.000 0.500
```

Properties
M_tot   0.00 Bohr magnetons per cell
E_form (uncorrected)   1.53 eV per formula unit
Relative energy among the computed polymorphs   0.00 eV per formula unit
Space group   No. 123


Record 15
Entry from Alexandria via LeMat-Bulk: a relaxed structure of Tb2CeTl2 (PBE).

Structure (POSCAR):
```
Tb2CeTl2
1.0
5.335 0.000 0.000
-2.668 4.620 0.000
0.000 0.000 6.522
Tb Ce Tl
2 1 2
Direct
0.333 0.667 0.169
0.667 0.333 0.831
0.000 0.000 0.500
0.333 0.667 0.691
0.667 0.333 0.309
```

Properties
M_tot   1.07 Bohr magnetons per cell
Relative energy among the computed polymorphs   0.00 eV per formula unit
Space group   No. 164


Record 16
Entry from Alexandria via LeMat-Bulk: a relaxed structure of HfAs2PbSe (PBE).

Structure (POSCAR):
```
HfAs2PbSe
1.0
5.445 0.000 0.000
0.000 5.445 0.000
0.000 0.000 5.357
Hf As Pb Se
1 2 1 1
Direct
0.000 0.000 0.000
0.000 0.500 0.000
0.500 0.000 0.000
0.500 0.500 0.500
0.000 0.000 0.500
```

Properties
M_tot   0.00 Bohr magnetons per cell
E_form (uncorrected)   -0.42 eV per formula unit
Relative energy among the computed polymorphs   0.00 eV per formula unit
Space group   No. 123


Record 17
Entry from Alexandria via LeMat-Bulk: a relaxed structure of EuSc2Au (PBE).

Structure (POSCAR):
```
EuSc2Au
1.0
3.483 0.000 0.000
0.000 3.483 0.000
0.000 0.000 8.392
Eu Sc Au
1 2 1
Direct
0.000 0.000 0.000
0.500 0.500 0.310
0.500 0.500 0.690
0.000 0.000 0.500
```

Properties
M_tot   8.62 Bohr magnetons per cell
VASP energy   -6.841 eV/atom
Space group   No. 123


Record 18
Entry from Alexandria via LeMat-Bulk: a relaxed structure of SrPuHgPd (PBE).

Structure (POSCAR):
```
SrPuHgPd
1.0
0.000 3.760 3.760
3.760 0.000 3.760
3.760 3.760 0.000
Sr Pu Hg Pd
1 1 1 1
Direct
0.000 0.000 0.000
0.500 0.500 0.500
0.750 0.750 0.750
0.250 0.250 0.250
```

Properties
M_tot   5.98 Bohr magnetons per cell
VASP energy   -5.643 eV/atom
Space group   No. 216


Record 19
Entry from Alexandria via LeMat-Bulk: a relaxed structure of ZnHg3Pb (PBE).

Structure (POSCAR):
```
ZnHg3Pb
1.0
8.484 0.000 0.000
0.000 3.708 0.000
-3.913 0.000 8.198
Zn Hg Pb
2 6 2
Direct
0.097 0.000 0.219
0.903 0.500 0.781
0.130 0.496 0.632
0.181 0.998 0.958
0.337 0.500 0.428
0.663 0.000 0.572
0.819 0.498 0.042
0.870 0.996 0.368
0.482 0.997 0.819
0.518 0.497 0.181
```

Properties
M_tot   0.00 Bohr magnetons per cell
Relative energy among the computed polymorphs   0.00 eV per formula unit
Space group   No. 4


Record 20
Entry from Alexandria via LeMat-Bulk: a relaxed structure of PuNiS2 (PBE).

Structure (POSCAR):
```
PuNiS2
1.0
1.734 1.001 7.764
-1.734 1.001 7.764
0.000 -2.002 7.764
Pu Ni S
1 1 2
Direct
0.000 0.000 0.000
0.500 0.500 0.500
0.115 0.115 0.115
0.885 0.885 0.885
```

Properties
M_tot   6.75 Bohr magnetons per cell
E_form (uncorrected)   -1.17 eV per formula unit
Space group   No. 166